*w*
VASP calculation (PBE) on an optimized crystal structure of KBrN2.

Calculated values
Density ... 2.3 g/cm3
Space-group type ... R-3m, No. 166
Crystal system ... trigonal

Lattice parameters (Å, degrees): 7.0502 7.0502 7.0502 35.74 35.74 35.74
Last column: magnetic moment on the atom in μB.
Sites, in units of the cell vectors:
K: 0.5000 0.5000 0.5000  0.01
Br: 0.0000 0.0000 0.0000  0.21
N: 0.9082 0.9082 0.9082  0.58
N: 0.0918 0.0918 0.0918  0.58

---

*x*
VASP calculation (PBE) on an optimized crystal structure of KBrN2.

Calculated values
Density ... 3.9 g/cm3
Space-group type ... Fm-3m, No. 225
Crystal system ... cubic

Lattice parameters (Å, degrees): 4.4670 4.4670 4.4670 60.00 60.00 60.00
Sites, in units of the cell vectors:
K: 0.0000 0.0000 0.0000
Br: 0.5000 0.5000 0.5000
N: 0.2500 0.2500 0.2500
N: 0.7500 0.7500 0.7500

---

*y*
VASP calculation (PBE) on an optimized crystal structure of KBrN2.

Calculated values
Density ... 1.5 g/cm3
Space-group type ... P2_1/m, No. 11
Crystal system ... monoclinic

Lattice parameters (Å, degrees): 6.4264 5.7000 9.7507 90.00 109.49 90.00
Last column: magnetic moment on the atom in μB.
Sites, in units of the cell vectors:
K: 0.7145 0.7500 0.9298  0.00
K: 0.2855 0.2500 0.0702  0.00
Br: 0.8007 0.2500 0.1001  0.06
Br: 0.1993 0.7500 0.8999  0.06
N: 0.4196 0.6524 0.3367  0.00
N: 0.5804 0.3476 0.6633  0.00
N: 0.4196 0.8476 0.3367  0.00
N: 0.5804 0.1524 0.6633  0.00

---

*z*
VASP calculation (PBE) on an optimized crystal structure of KBrN2.

Calculated values
Density ... 3.1 g/cm3
Space-group type ... I-42d, No. 122
Crystal system ... tetragonal

Lattice parameters (Å, degrees): 6.1395 6.1395 6.0047 59.25 59.25 90.00
Sites, in units of the cell vectors:
K: 0.5000 0.5000 0.0000
K: 0.2500 0.7500 0.5000
Br: 0.0000 0.0000 0.0000
Br: 0.7500 0.2500 0.5000
N: 0.7438 0.1250 0.2500
N: 0.0062 0.6250 0.2500
N: 0.3750 0.2562 0.7500
N: 0.8750 0.9938 0.7500

---

Which structure loses on stability? *x* does.

---

*w*
VASP calculation (PBE) on an optimized crystal structure of KBr2N.

Calculated values
Density ... 2.0 g/cm3
Space-group type ... R-3m, No. 166
Crystal system ... trigonal

Lattice parameters (Å, degrees): 8.0046 8.0046 8.0046 38.31 38.31 38.31
Last column: magnetic moment on the atom in μB.
Sites, in units of the cell vectors:
K: 0.5000 0.5000 0.5000  0.00
Br: 0.9003 0.9003 0.9003  0.07
Br: 0.0997 0.0997 0.0997  0.07
N: 0.0000 0.0000 0.0000  1.23

---

*x*
VASP calculation (PBE) on an optimized crystal structure of KBr2N.

Calculated values
Density ... 3.0 g/cm3
Space-group type ... I4_1/amd, No. 141
Crystal system ... tetragonal

Lattice parameters (Å, degrees): 6.9512 6.9512 6.9739 60.11 60.11 90.00
Sites, in units of the cell vectors:
K: 0.0000 0.0000 0.0000
K: 0.7500 0.2500 0.5000
Br: 0.3750 0.1250 0.2500
Br: 0.3750 0.6250 0.2500
Br: 0.3750 0.6250 0.7500
Br: 0.8750 0.6250 0.7500
N: 0.5000 0.5000 0.0000
N: 0.2500 0.7500 0.5000

---

*y*
VASP calculation (PBE) on an optimized crystal structure of KBr2N.

Calculated values
Density ... 2.3 g/cm3
Space-group type ... R-3m, No. 166
Crystal system ... trigonal

Lattice parameters (Å, degrees): 8.7197 8.7197 8.7197 31.00 31.00 31.00
Last column: magnetic moment on the atom in μB.
Sites, in units of the cell vectors:
K: 0.0000 0.0000 0.0000  0.00
Br: 0.8800 0.8800 0.8800  -0.07
Br: 0.1200 0.1200 0.1200  -0.07
N: 0.5000 0.5000 0.5000  1.53

---

*z*
VASP calculation (PBE) on an optimized crystal structure of KBr2N.

Calculated values
Density ... 2.9 g/cm3
Space-group type ... Fm-3m, No. 225
Crystal system ... cubic

Lattice parameters (Å, degrees): 5.5667 5.5667 5.5667 60.00 60.00 60.00
Last column: magnetic moment on the atom in μB.
Sites, in units of the cell vectors:
K: 0.5000 0.5000 0.5000  0.00
Br: 0.2500 0.2500 0.2500  0.44
Br: 0.7500 0.7500 0.7500  0.44
N: 0.0000 0.0000 0.0000  1.87

---

Which structure loses on stability? *y* does.